No. 1
First-principles (PBE-GGA) data for a relaxed Tl3I crystal, as listed in Alexandria via LeMat-Bulk.

a b c (Å): 6.779 6.779 6.779
angles (deg): 137.41 137.41 61.81
Positions (direct):
Tl1 0.000 0.000 0.000
Tl2 0.250 0.750 0.500
Tl3 0.750 0.250 0.500
I1 0.500 0.500 0.000

Properties
Distance to the lowest polymorph of the same formula: 5 meV/atom
E_tot: -2.354 eV/atom
Total magnetic moment: 0.00 Bohr magnetons per cell
Uncorrected formation energy: -0.1916 eV/atom
V: 35.25 Å³/atom



No. 2
First-principles (PBE-GGA) data for a relaxed Ca3PPd crystal, as listed in Alexandria via LeMat-Bulk.

a b c (Å): 5.379 5.379 5.379
angles (deg): 90.00 90.00 90.00
Positions (direct):
Ca1 0.000 0.000 0.500
Ca2 0.000 0.500 0.000
Ca3 0.500 0.000 0.000
P1 0.000 0.000 0.000
Pd1 0.500 0.500 0.500

Properties
Distance to the lowest polymorph of the same formula: 253 meV/atom
Formation enthalpy at 0 K: -48.6 kJ per mole of atoms
E_tot: -3.826 eV/atom
Total magnetic moment: 0.00 Bohr magnetons per cell
V: 31.12 Å³/atom



No. 3
First-principles (PBE-GGA) data for a relaxed Sr2TlSb4Pd3 crystal, as listed in Alexandria via LeMat-Bulk.

a b c (Å): 4.780 4.780 11.301
angles (deg): 90.00 90.00 90.00
Positions (direct):
Sr1 0.000 0.500 0.242
Sr2 0.500 0.000 0.758
Tl1 0.000 0.000 0.500
Sb1 0.000 0.000 0.000
Sb2 0.000 0.500 0.648
Sb3 0.500 0.000 0.352
Sb4 0.500 0.500 0.000
Pd1 0.000 0.500 0.882
Pd2 0.500 0.000 0.118
Pd3 0.500 0.500 0.500

Properties
E_tot: -4.384 eV/atom
Total magnetic moment: 0.00 Bohr magnetons per cell
Uncorrected formation energy: -0.6045 eV/atom
V: 25.82 Å³/atom